Record 1
VASP calculation (GGA-PBE) on a relaxed MnSe2Br crystal.

Computed properties:
V (Å³ per cell): 82.2
Energy above the most stable polymorph in this dataset (eV per atom): 0.831
Uncorrected formation energy (meV per atom): 470
M_tot (μB/f.u.): 3.15

Cell: 4.8802 4.8802 4.8802 Å, 60.00 60.00 60.00°
Fractional coordinates of all 4 atoms:
Br: 0.5000 0.5000 0.5000
Se: 0.2500 0.2500 0.2500
Se: 0.7500 0.7500 0.7500
Mn: 0.0000 0.0000 0.0000

***

Record 2
VASP calculation (GGA-PBE) on a relaxed NbTc2SbH crystal.

Computed properties:
V (Å³ per cell): 69.5
M_tot (μB/f.u.): 0.00

Cell: 4.1948 3.9490 4.1948 Å, 90.00 90.00 90.00°
Fractional coordinates of all 5 atoms:
Nb: 0.0000 0.5000 0.0000
Tc: 0.0000 0.0000 0.5000
H: 0.0000 0.0000 0.0000
Sb: 0.5000 0.5000 0.5000
Tc: 0.5000 0.0000 0.0000

***

Record 3
VASP calculation (GGA-PBE) on a relaxed ErNiS2 crystal.

Computed properties:
V (Å³ per cell): 80.8
Uncorrected formation energy (meV per atom): -431
M_tot (μB/f.u.): 0.00

Cell: 3.4970 3.4970 7.8885 Å, 77.19 77.19 60.00°
Fractional coordinates of all 4 atoms:
S: 0.8845 0.8845 0.3465
S: 0.1155 0.1155 0.6535
Er: 0.0000 0.0000 0.0000
Ni: 0.5000 0.5000 0.5000

***

Record 4
VASP calculation (GGA-PBE) on a relaxed GdEr3Ni crystal.

Computed properties:
V (Å³ per cell): 145.6
M_tot (μB/f.u.): 8.02

Cell: 5.2611 5.2611 5.2611 Å, 90.00 90.00 90.00°
Fractional coordinates of all 5 atoms:
Er: 0.0000 0.0000 0.5000
Ni: 0.0000 0.0000 0.0000
Er: 0.5000 0.0000 0.0000
Er: 0.0000 0.5000 0.0000
Gd: 0.5000 0.5000 0.5000

***

Record 5
VASP calculation (GGA-PBE) on a relaxed NbSbPt3 crystal.

Computed properties:
V (Å³ per cell): 117.9
Energy above the most stable polymorph in this dataset (eV per atom): 0.000
Uncorrected formation energy (meV per atom): 768
M_tot (μB/f.u.): 0.00

Cell: 4.9032 4.9032 4.9032 Å, 90.00 90.00 90.00°
Fractional coordinates of all 5 atoms:
Sb: 0.5000 0.5000 0.5000
Pt: 0.0000 0.0000 0.5000
Nb: 0.0000 0.0000 0.0000
Pt: 0.0000 0.5000 0.0000
Pt: 0.5000 0.0000 0.0000

***

Record 6
VASP calculation (GGA-PBE) on a relaxed LaTaTe3 crystal.

Computed properties:
V (Å³ per cell): 219.3
Energy above the most stable polymorph in this dataset (eV per atom): 1.804
Uncorrected formation energy (meV per atom): 899
M_tot (μB/f.u.): 2.45

Cell: 6.0306 6.0306 6.0306 Å, 90.00 90.00 90.00°
Fractional coordinates of all 5 atoms:
La: 0.0000 0.0000 0.0000
Te: 0.0000 0.0000 0.5000
Te: 0.0000 0.5000 0.0000
Te: 0.5000 0.0000 0.0000
Ta: 0.5000 0.5000 0.5000

***

It is found that the raw total energy values, taken in the order of the records, are -3.983, -7.571, -5.081, -6.794, -5.695, -4.342 eV/atom.
It is found that the DOS(E_F) values, taken in the order of the records, are 2.39, 6.00, 3.42, 7.87, 4.00, 6.28 states/eV per cell.